Arrangement P

Te2PtSI: relaxed, GGA-PBE.

abc: 5.307 5.307 5.379
angles: 90.00 90.00 90.00
Fractional coordinates of all 5 atoms:
I 0.000 0.000 0.500
S 0.500 0.500 0.500
Te 0.000 0.500 0.000
Te 0.500 0.000 0.000
Pt 0.000 0.000 0.000

Calculated values
As for the space group: P4/mmm (123). The value obtained for the volume is 151.5 Å³ per cell. For the total magnetization, the calculation gives 0.00 μB per formula unit.

Arrangement Q

Te2PtSI: relaxed, GGA-PBE.

abc: 5.240 5.240 5.201
angles: 90.00 90.00 90.00
Fractional coordinates of all 5 atoms:
I 0.000 0.000 0.500
S 0.000 0.000 0.000
Te 0.000 0.500 0.000
Te 0.500 0.000 0.000
Pt 0.500 0.500 0.500

Calculated values
As for the space group: P4/mmm (123). The value obtained for the volume is 142.8 Å³ per cell. For the total magnetization, the calculation gives 0.00 μB per formula unit.

The most stable structure shown above is arrangement P; the least stable is arrangement Q.